Record 1
HfScCuIr2 (GGA-PBE, relaxed); calculated formation energy = 1.233 eV/atom; calculated volume = 23.35 Å³/atom; space group = P4/mmm, No. 123
1.0
-0.863 -0.531 -4.683
0.249 -5.051 0.527
-4.708 -0.140 0.883
Ir Hf Cu Sc
2 1 1 1
direct
0.000 0.000 0.500
0.500 0.000 0.000
0.000 0.000 0.000
0.500 0.500 0.500
0.000 0.500 0.000


Record 2
PmZn3In (GGA-PBE, relaxed); energy above the most stable polymorph in this dataset = 0.103 eV per atom; calculated formation energy = -0.240 eV/atom; calculated volume = 21.36 Å³/atom; space group = Cmcm, No. 63
1.0
-0.317 -1.635 -4.152
1.248 -3.369 1.231
-12.464 -1.861 1.685
Zn In Pm
6 2 2
direct
0.750 0.320 0.641
0.250 0.375 0.750
0.250 0.680 0.359
0.750 0.524 0.048
0.250 0.476 0.952
0.750 0.625 0.250
0.250 0.790 0.579
0.750 0.210 0.421
0.750 0.922 0.844
0.250 0.078 0.156


Record 3
PmNd2Tc (GGA-PBE, relaxed); energy above the most stable polymorph in this dataset = 0.132 eV per atom; calculated formation energy = 0.149 eV/atom; calculated volume = 28.78 Å³/atom; space group = P4/mmm, No. 123
1.0
-2.451 -1.163 -2.282
-1.319 -2.134 2.505
-5.670 6.667 2.693
Pm Nd Tc
1 2 1
direct
0.500 0.500 0.500
0.000 0.000 0.812
0.000 0.000 0.188
0.500 0.500 0.000


Record 4
SnPd3Au (GGA-PBE, relaxed); energy above the most stable polymorph in this dataset = 0.963 eV per atom; calculated formation energy = 0.606 eV/atom; calculated volume = 23.61 Å³/atom; space group = Pm-3m, No. 221
1.0
4.905 0.000 0.000
0.000 4.905 0.000
0.000 0.000 4.905
Sn Pd Au
1 3 1
direct
0.000 0.000 0.000
0.500 0.000 0.000
0.000 0.500 0.000
0.000 0.000 0.500
0.500 0.500 0.500